# 1
Material: La2PuGe3
Method: DFT, PBE
State: relaxed

abc: 7.4310 7.4310 8.8166
angles: 107.25 107.25 48.44
Closest atoms and distances in Å follow each position.
Fractional positions:
La 0.1708 0.1729 0.0860  6 Ge 3.06-3.19
La 0.1729 0.1708 0.5860  6 Ge 3.06-3.19
La 0.8271 0.8292 0.4140  6 Ge 3.06-3.19
La 0.8292 0.8271 0.9140  6 Ge 3.06-3.19
Pu 0.4991 0.5009 0.7500  6 Ge 2.91-3.05
Pu 0.5009 0.4991 0.2500  6 Ge 2.91-3.05
Ge 0.0015 0.9985 0.2500  2 Pu 3.04-3.05, 4 La 3.12
Ge 0.3506 0.3534 0.4261  2 Pu 2.91, 4 La 3.06-3.19
Ge 0.3534 0.3506 0.9261  2 Pu 2.91, 4 La 3.06-3.19
Ge 0.6466 0.6494 0.0739  2 Pu 2.91, 4 La 3.06-3.19
Ge 0.6494 0.6466 0.5739  2 Pu 2.91, 4 La 3.06-3.19
Ge 0.9985 0.0015 0.7500  2 Pu 3.04-3.05, 4 La 3.12

Results
magnetic moment	9.31	Bohr magnetons per cell
space-group type	C2/c
energy of formation from the pure elements	-0.48	eV per atom
volume	28.71	Å³ per atom
raw total energy	-81.88	eV for the cell shown



# 2
Material: ZrReP
Method: DFT, PBE
State: relaxed

abc: 7.0513 7.0513 3.4690
angles: 90.00 90.00 120.00
Closest atoms and distances in Å follow each position.
Fractional positions:
Zr 0.0000 0.3955 0.0000  5 Re 2.77-2.79, 6 P 2.93-3.02
Zr 0.3955 0.0000 0.0000  5 Re 2.77-2.79, 6 P 2.93-3.02
Zr 0.6045 0.6045 0.0000  5 Re 2.77-2.79, 6 P 2.93-3.02
Re 0.0000 0.0000 0.0000  6 P 2.57, 3 Zr 2.79
Re 0.3333 0.6667 0.5000  3 P 2.61, 6 Zr 2.77
Re 0.6667 0.3333 0.5000  3 P 2.61, 6 Zr 2.77
P 0.0000 0.7306 0.5000  4 Re 2.57-2.61
P 0.2694 0.2694 0.5000  4 Re 2.57-2.61
P 0.7306 0.0000 0.5000  4 Re 2.57-2.61

Results
magnetic moment	0.00	Bohr magnetons per cell
space-group type	P-62m
energy of formation from the pure elements	-0.42	eV per atom
volume	16.60	Å³ per atom
raw total energy	-82.98	eV for the cell shown



# 3
Material: Cs2ZnP
Method: DFT, PBE
State: relaxed

abc: 7.4549 5.3067 11.5200
angles: 90.00 107.00 90.00
Closest atoms and distances in Å follow each position.
Fractional positions:
Cs 0.0681 0.2500 0.1507  3 P 3.59-3.77
Cs 0.3134 0.7500 0.6535  2 P 3.85, 2 Zn 4.05, 1 Cs 4.11
Cs 0.6866 0.2500 0.3465  2 P 3.85, 2 Zn 4.05, 1 Cs 4.11
Cs 0.9319 0.7500 0.8493  3 P 3.59-3.77
Zn 0.5000 0.0000 0.0000  2 P 2.26
Zn 0.5000 0.5000 0.0000  2 P 2.26
P 0.2691 0.2500 0.8861  2 Zn 2.26
P 0.7309 0.7500 0.1139  2 Zn 2.26

Results
magnetic moment	0.00	Bohr magnetons per cell
space-group type	P2_1/m
energy of formation from the pure elements	-0.24	eV per atom
E above lowest polymorph	0.00	eV per formula unit
volume	54.48	Å³ per atom
raw total energy	-18.73	eV for the cell shown



# 4
Material: KAg2Mo
Method: DFT, PBE
State: relaxed

abc: 2.7379 4.4747 7.6175
angles: 90.00 90.00 90.00
Closest atoms and distances in Å follow each position.
Fractional positions:
K 0.0000 0.0000 0.0000  2 K 2.74
Ag 0.0000 0.0000 0.4805  2 Ag 2.74, 4 Mo 2.82
Ag 0.5000 0.5000 0.7003  1 Mo 2.71, 2 Ag 2.74
Mo 0.5000 0.5000 0.3439  5 Ag 2.71-2.82, 2 Mo 2.74

Results
magnetic moment	0.00	Bohr magnetons per cell
space-group type	Pmm2
energy of formation from the pure elements	0.81	eV per atom
E above lowest polymorph	0.77	eV per formula unit
volume	23.33	Å³ per atom
raw total energy	-14.41	eV for the cell shown



Question: The lowest raw total energy belongs to which entry?
Answer: ZrReP



Question: energy of formation from the pure elements of number 1 (La2PuGe3)?
Answer: -0.48 eV per atom



Question: Number 1 is which compound?
Answer: La2PuGe3